Record 1
Li3LaAu2 | PBE | optimized geometry

Computed properties:
The value obtained for the total energy is -3.396 eV per atom.

abc: 4.231 8.062 8.360
angles: 115.30 90.00 105.21
Positions (direct):
Li 0.591 0.182 0.671
Li 0.058 0.116 0.398
Li 0.305 0.610 0.517
Au 0.792 0.585 0.276
Li 0.942 0.884 0.602
La 0.861 0.722 0.958
Li 0.695 0.390 0.483
Au 0.208 0.415 0.724
La 0.139 0.278 0.042
Li 0.409 0.818 0.329
Au 0.469 0.939 0.810
Au 0.531 0.061 0.190

---

Record 2
LiLa2Au3 | PBE | optimized geometry

Computed properties:
The value obtained for the total energy is -4.315 eV per atom. The value obtained for the energy relative to the lowest polymorph listed for this composition is 0.00 eV per formula unit.

abc: 6.038 6.038 8.952
angles: 105.39 105.39 102.30
Positions (direct):
Au 0.645 0.179 0.824
Au 0.826 0.826 0.653
La 0.750 0.250 0.500
La 0.250 0.750 0.500
Au 0.179 0.645 0.824
Au 0.355 0.821 0.176
Li 0.668 0.668 0.336
Au 0.174 0.174 0.347
La 0.246 0.246 0.000
La 0.754 0.754 0.000
Au 0.821 0.355 0.176
Li 0.332 0.332 0.664

---

Record 3
LiLaAu2 | PBE | optimized geometry

Computed properties:
The value obtained for the total energy is -3.993 eV per atom.

abc: 3.579 3.516 7.741
angles: 62.76 90.00 90.00
Positions (direct):
Au 0.000 0.455 0.543
Au 0.000 0.045 0.957
La 0.500 0.250 0.250
Li 0.500 0.750 0.750

---

Record 4
Li2LaAu | PBE | optimized geometry

Computed properties:
The value obtained for the total energy is -3.341 eV per atom.

abc: 3.622 3.619 7.157
angles: 90.00 90.00 90.00
Positions (direct):
Li 0.500 0.500 0.265
Li 0.000 0.000 0.076
La 0.500 0.500 0.708
Au 0.000 0.000 0.452

---

Record 5
Li15La6Au8 | PBE | optimized geometry

Computed properties:
The value obtained for the total energy is -3.314 eV per atom.

abc: 9.709 9.709 9.709
angles: 60.00 60.00 60.00
Positions (direct):
Au 0.866 0.866 0.866
Au 0.134 0.599 0.134
Au 0.134 0.134 0.599
Li 0.500 0.000 0.500
Li 0.323 0.323 0.032
Li 0.677 0.677 0.677
La 0.261 0.739 0.739
La 0.739 0.739 0.261
Li 0.032 0.323 0.323
Au 0.134 0.134 0.134
Li 0.000 0.000 0.500
Li 0.677 0.677 0.968
La 0.739 0.261 0.739
Au 0.401 0.866 0.866
Au 0.866 0.401 0.866
Li 0.323 0.032 0.323
La 0.261 0.261 0.739
La 0.739 0.261 0.261
Li 0.500 0.500 0.000
Au 0.599 0.134 0.134
La 0.261 0.739 0.261
Li 0.500 0.000 0.000
Li 0.000 0.500 0.000
Li 0.000 0.500 0.500
Li 0.323 0.323 0.323
Li 0.677 0.968 0.677
Au 0.866 0.866 0.401
Li 0.000 0.000 0.000
Li 0.968 0.677 0.677

---

Record 6
Li2LaAu | PBE | optimized geometry

Computed properties:
The value obtained for the total energy is -3.244 eV per atom.

abc: 3.373 3.374 7.516
angles: 90.00 90.00 90.00
Positions (direct):
Li 0.000 0.000 0.078
La 0.500 0.500 0.750
Au 0.500 0.500 0.250
Li 0.000 0.000 0.422